Ta2AgMoF | GGA+U | relaxed

Total energy ... -6.51 eV/atom

a = 4.339 Å, b = 4.339 Å, c = 4.253 Å
α = 90.00°, β = 90.00°, γ = 90.00°
Positions (direct):
Ta (0.000, 0.500, 0.000)
Ta (0.500, 0.000, 0.000)
Ag (0.000, 0.000, 0.500)
Mo (0.500, 0.500, 0.500)
F (0.500, 0.500, 0.000)

Tc2AgMoF | GGA+U | relaxed

Total energy ... -5.60 eV/atom

a = 4.224 Å, b = 4.224 Å, c = 4.688 Å
α = 90.00°, β = 90.00°, γ = 90.00°
Positions (direct):
Tc (0.000, 0.500, 0.000)
Tc (0.500, 0.000, 0.000)
Ag (0.000, 0.000, 0.500)
Mo (0.500, 0.500, 0.500)
F (0.000, 0.000, 0.000)

AgTeMoF2 | GGA+U | relaxed

Energy above the most stable polymorph in this dataset ... 1.023 eV per atom

a = 4.484 Å, b = 4.484 Å, c = 5.535 Å
α = 90.00°, β = 90.00°, γ = 90.00°
Positions (direct):
Ag (0.000, 0.000, 0.000)
Te (0.000, 0.000, 0.500)
Mo (0.500, 0.500, 0.000)
F (0.000, 0.500, 0.500)
F (0.500, 0.000, 0.500)

no.,calculated density (Mg/m³)
1,12.13
2,8.31
3,5.51